No. 1
Here is a relaxed structure of MoPN2 from Alexandria via LeMat-Bulk. Energies are from PBE.

Cell lengths 4.5666, 4.5666, 5.1424 Å; angles 63.64, 63.64, 90.00 degrees
Sites, in units of the cell vectors:
Mo 0.0000 0.0000 0.0000
Mo 0.7500 0.2500 0.5000
N 0.8750 0.7893 0.7500
N 0.5393 0.1250 0.2500
N 0.2107 0.6250 0.2500
N 0.3750 0.4607 0.7500
P 0.5000 0.5000 0.0000
P 0.2500 0.7500 0.5000

Calculated values
Formation energy (no corrections) (eV/atom): 0.2857

No. 2
Here is a relaxed structure of La2HgRh from Alexandria via LeMat-Bulk. Energies are from PBE.

Cell lengths 5.5343, 5.5343, 5.5343 Å; angles 131.54, 118.62, 81.83 degrees
Sites, in units of the cell vectors:
Rh 0.5000 0.0000 0.5000
La 0.2842 0.2842 0.0000
La 0.7158 0.7158 0.0000
Hg 0.0000 0.5000 0.5000

Calculated values
ΔH_f (0 K) (meV per atom): -518.8

No. 3
Here is a relaxed structure of DyHo3Co from Alexandria via LeMat-Bulk. Energies are from PBE.

Cell lengths 5.2456, 5.2456, 5.2456 Å; angles 90.00, 90.00, 90.00 degrees
Sites, in units of the cell vectors:
Ho 0.0000 0.0000 0.5000
Ho 0.5000 0.0000 0.0000
Ho 0.0000 0.5000 0.0000
Dy 0.5000 0.5000 0.5000
Co 0.0000 0.0000 0.0000

Calculated values
ΔH_f (0 K) (meV per atom): -10.4

No. 4
Here is a relaxed structure of AlNiIr2 from Alexandria via LeMat-Bulk. Energies are from PBE.

Cell lengths 5.0520, 5.0520, 5.0520 Å; angles 146.96, 129.85, 61.37 degrees
Sites, in units of the cell vectors:
Ir 0.0120 0.0120 0.0000
Ir 0.7451 0.2451 0.5000
Ni 0.4850 0.4850 0.0000
Al 0.2579 0.7579 0.5000

Calculated values
ΔH_f (0 K) (meV per atom): -290.5

Asked for spin magnetization across the records above, the calculation gives 0.0 0.0 0.0 0.0 μB per formula unit in order.